Material: AlCl
Method: DFT, PBE-GGA
State: relaxed

abc: 6.0982 6.0982 6.0982
angles: 90.00 90.00 90.00
With the nearest neighbours (Å) after each atom.
Sites, in units of the cell vectors:
1 Al 0.1840 0.6840 0.8160  1 Cl 2.32
2 Al 0.3160 0.3160 0.3160  1 Cl 2.32
3 Al 0.8160 0.1840 0.6840  1 Cl 2.32
4 Al 0.6840 0.8160 0.1840  1 Cl 2.32
5 Cl 0.4036 0.9036 0.5964  1 Al 2.32
6 Cl 0.0964 0.0964 0.0964  1 Al 2.32
7 Cl 0.5964 0.4036 0.9036  1 Al 2.32
8 Cl 0.9036 0.5964 0.4036  1 Al 2.32

Output
Total magnetic moment ... 0.0000 μB per atom
Uncorrected energy ... -24.97 eV for the cell shown
Fermi-level density of states ... 0.0000 states/eV per atom
Theoretical density ... 1.83 Mg/m³

Material: SrLi2BeAl
Method: DFT, PBE-GGA
State: relaxed

abc: 4.8859 4.8859 4.5197
angles: 90.00 90.00 90.00
With the nearest neighbours (Å) after each atom.
Sites, in units of the cell vectors:
1 Sr 0.5000 0.5000 0.5000  8 Li 3.33, 4 Al 3.45
2 Li 0.0000 0.5000 0.0000  2 Be 2.44
3 Li 0.5000 0.0000 0.0000  2 Be 2.44
4 Al 0.0000 0.0000 0.5000  2 Be 2.26
5 Be 0.0000 0.0000 0.0000  2 Al 2.26, 4 Li 2.44

Output
Total magnetic moment ... 0.0000 μB per atom
Uncorrected energy ... -12.60 eV for the cell shown
E_form ... 0.077 eV per atom
Fermi-level density of states ... 0.4625 states/eV per atom
Theoretical density ... 2.12 Mg/m³

Material: ScBe4Tc
Method: DFT, PBE-GGA
State: relaxed

abc: 4.5519 4.5519 4.5519
angles: 60.00 60.00 60.00
With the nearest neighbours (Å) after each atom.
Sites, in units of the cell vectors:
1 Be 0.3731 0.3731 0.3731  6 Be 2.24-2.31
2 Be 0.3731 0.8806 0.3731  6 Be 2.24-2.31
3 Be 0.3731 0.3731 0.8806  6 Be 2.24-2.31
4 Be 0.8806 0.3731 0.3731  6 Be 2.24-2.31
5 Sc 0.7500 0.7500 0.7500  12 Be 2.67, 4 Tc 2.79
6 Tc 0.0000 0.0000 0.0000  12 Be 2.67, 4 Sc 2.79

Output
Total magnetic moment ... 0.1468 μB per atom
Uncorrected energy ... -32.92 eV for the cell shown
E_form ... -0.220 eV per atom
Fermi-level density of states ... 1.0229 states/eV per atom
Theoretical density ... 4.46 Mg/m³

Material: CaHgBiPb2
Method: DFT, PBE-GGA
State: relaxed

abc: 5.9440 5.5302 5.9440
angles: 90.00 90.00 90.00
With the nearest neighbours (Å) after each atom.
Sites, in units of the cell vectors:
1 Pb 0.0000 0.0000 0.5000  2 Ca 2.97
2 Pb 0.5000 0.0000 0.0000  2 Ca 2.97
3 Ca 0.0000 0.0000 0.0000  2 Hg 2.77, 4 Pb 2.97
4 Bi 0.5000 0.5000 0.5000  8 Pb 4.06, 4 Hg 4.20
5 Hg 0.0000 0.5000 0.0000  2 Ca 2.77

Output
Energy above the lowest structure with this stoichiometry ... 0.651 eV per atom
Total magnetic moment ... 0.0788 μB per atom
Uncorrected energy ... -11.28 eV for the cell shown
E_form ... 0.464 eV per atom
Fermi-level density of states ... 0.9072 states/eV per atom
Theoretical density ... 7.34 Mg/m³

Material: LaAlPd3
Method: DFT, PBE-GGA
State: relaxed

abc: 4.7211 4.7211 4.7211
angles: 90.00 90.00 90.00
With the nearest neighbours (Å) after each atom.
Sites, in units of the cell vectors:
1 Al 0.0000 0.0000 0.0000  6 Pd 2.36
2 Pd 0.0000 0.5000 0.0000  2 Al 2.36
3 Pd 0.0000 0.0000 0.5000  2 Al 2.36
4 Pd 0.5000 0.0000 0.0000  2 Al 2.36
5 La 0.5000 0.5000 0.5000  12 Pd 3.34

Output
Energy above the lowest structure with this stoichiometry ... 0.172 eV per atom
Total magnetic moment ... 0.0000 μB per atom
Uncorrected energy ... -27.16 eV for the cell shown
E_form ... -0.582 eV per atom
Fermi-level density of states ... 0.5988 states/eV per atom
Theoretical density ... 7.66 Mg/m³

Material: NbGaBr2
Method: DFT, PBE-GGA
State: relaxed

abc: 4.8695 4.8695 4.8695
angles: 60.00 60.00 60.00
With the nearest neighbours (Å) after each atom.
Sites, in units of the cell vectors:
1 Nb 0.5000 0.5000 0.5000  8 Br 2.98
2 Ga 0.0000 0.0000 0.0000  8 Br 2.98
3 Br 0.2500 0.2500 0.2500  4 Nb 2.98, 4 Ga 2.98
4 Br 0.7500 0.7500 0.7500  4 Nb 2.98, 4 Ga 2.98

Output
Energy above the lowest structure with this stoichiometry ... 0.548 eV per atom
Total magnetic moment ... 0.0000 μB per atom
Uncorrected energy ... -15.30 eV for the cell shown
Fermi-level density of states ... 0.5150 states/eV per atom
Theoretical density ... 6.56 Mg/m³